Li2YSbH: relaxed, GGA-PBE.

abc: 4.370 4.370 4.570
angles: 90.00 90.00 90.00
Space group P4/mmm (No. 123)
Asymmetric unit:
Li (0.000, 0.500, 0.000)
Y (0.000, 0.000, 0.500)
Sb (0.500, 0.500, 0.500)
H (0.000, 0.000, 0.000)

For the density of states at the Fermi level, the calculation gives 0.492 states/eV per atom. For the total energy, the calculation gives -4.1848 eV per atom. The value obtained for the total magnetization is 0.00 μB/atom.